BeRuW2: relaxed, PBE.

abc: 3.1670 4.2161 4.2248
angles: 90.00 90.00 90.00
Space group Pmmm (No. 47)
Asymmetric unit:
Be1 0.0000 0.0000 0.0000 [1 per cell]
Ru1 0.5000 0.5000 0.0000 [1 per cell]
W1 0.0000 0.5000 0.5000 [1 per cell]
W2 0.5000 0.0000 0.5000 [1 per cell]

Summary:
Crystal system = orthorhombic
ΔE_f = 0.1514 eV/atom
Volume = 56.4 Å³/f.u.
Energy relative to the lowest polymorph listed for this composition = 121.1 meV/atom
DFT total energy = -9.576 eV/atom
Magnetic moment = 0.00 μB per formula unit